(1)
! TcSnP PBE relaxed; values from VASP
! ΔH_f (0 K): -0.282 eV/atom
! Crystal system: orthorhombic
! Calculated volume: 104.14 Å³ per cell
! Excess energy over the best structure of this formula in the dataset: 0 meV per atom
&SYSTEM
  ibrav = 0, nat = 6, ntyp = 3
/
ATOMIC_SPECIES
Tc 98.00 Tc.upf
Sn 118.71 Sn.upf
P 30.97 P.upf
ATOMIC_POSITIONS angstrom
Tc 1.565 5.045 2.791
Tc 1.565 -5.045 0.000
Sn 1.565 2.431 1.763
Sn 1.565 -2.431 4.554
P 1.565 0.740 3.703
P 1.565 -0.740 0.911
CELL_PARAMETERS angstrom
1.565 -5.961 0.000
1.565 5.961 0.000
0.000 0.000 5.582

(2)
! PaZnAg2 PBE relaxed; values from VASP
! ΔH_f (0 K): 0.271 eV/atom
! Crystal system: trigonal
! Calculated volume: 80.77 Å³ per cell
! Excess energy over the best structure of this formula in the dataset: 199 meV per atom
&SYSTEM
  ibrav = 0, nat = 4, ntyp = 3
/
ATOMIC_SPECIES
Pa 231.04 Pa.upf
Zn 65.41 Zn.upf
Ag 107.87 Ag.upf
ATOMIC_POSITIONS angstrom
Pa 0.000 0.000 0.000
Zn 0.000 0.000 15.982
Ag 0.000 0.000 3.105
Ag 0.000 0.000 28.860
CELL_PARAMETERS angstrom
1.479 0.854 10.655
-1.479 0.854 10.655
0.000 -1.708 10.655

(3)
! Ni2S PBE relaxed; values from VASP
! Electronic total energy: -5.432 eV/atom
! Crystal system: monoclinic
! Calculated volume: 75.72 Å³ per cell
&SYSTEM
  ibrav = 0, nat = 6, ntyp = 2
/
ATOMIC_SPECIES
Ni 58.69 Ni.upf
S 32.06 S.upf
ATOMIC_POSITIONS angstrom
Ni 2.736 2.170 2.504
Ni 2.466 0.396 0.701
Ni 2.168 -0.396 3.204
Ni 3.034 -2.170 0.000
S 4.459 1.113 1.373
S 4.161 -1.113 3.877
CELL_PARAMETERS angstrom
3.034 -2.492 0.000
3.034 2.492 0.000
-0.595 0.000 5.007

(4)
! MnIrRh2 PBE relaxed; values from VASP
! ΔH_f (0 K): 0.441 eV/atom
! Crystal system: cubic
! Calculated volume: 55.73 Å³ per cell
&SYSTEM
  ibrav = 0, nat = 4, ntyp = 3
/
ATOMIC_SPECIES
Mn 54.94 Mn.upf
Ir 192.22 Ir.upf
Rh 102.91 Rh.upf
ATOMIC_POSITIONS angstrom
Mn 0.000 0.000 0.000
Ir 3.032 3.032 3.032
Rh 1.516 1.516 1.516
Rh 4.548 4.548 4.548
CELL_PARAMETERS angstrom
0.000 3.032 3.032
3.032 0.000 3.032
3.032 3.032 0.000

no.,DOS(E_F) (states/eV per atom)
1,0.243
2,1.268
3,0.797
4,2.851